The following is a DFT calculation (PBE) of Tb3DyY5 after structural relaxation.

Structure (extended XYZ):
```
18
Lattice="9.084 -3.164 0.000 9.084 3.164 0.000 -4.133 0.000 10.626" Properties=species:S:1:pos:R:3 pbc="T T T"
Tb 0.000 0.000 0.000
Tb -2.066 0.000 5.313
Tb 3.411 2.011 6.629
Tb 8.559 2.011 9.309
Tb 5.478 -2.011 1.316
Tb 10.625 -2.011 3.996
Dy 8.051 2.406 2.656
Dy 5.985 -2.406 7.969
Y 4.805 1.389 3.070
Y 2.129 1.211 10.467
Y 5.985 0.624 7.969
Y 11.298 1.389 2.243
Y 9.841 1.211 5.471
Y 4.195 -1.211 5.154
Y 2.739 -1.389 8.383
Y 8.051 -0.624 2.656
Y 11.907 -1.211 0.158
Y 9.231 -1.389 7.556
```

Summary:
**Energy above the most stable polymorph in this dataset**: 207 kJ/mol of formula units
**Size of the total moment**: 0.00 μB per cell
**Final energy**: -5.3541 eV/atom
**E_form**: 0.292 eV per atom